Li3H4Rh | PBE | relaxed

Properties
The space-group type is No. 65. The energy relative to the lowest polymorph listed for this composition comes out at 0.074 eV/atom. For the spin magnetization, the calculation gives 0.00 μB/f.u. The value obtained for the total DFT energy (no corrections) is -3.684 eV per atom.

Cell and atoms, written as extended XYZ:
```
8
Lattice="2.891 0.000 0.000 0.000 4.406 -1.902 0.000 0.426 4.780" Properties=species:S:1:pos:R:3 pbc="T T T"
Li 0.000 0.213 2.390
Li 1.446 2.416 1.439
Li 0.000 2.203 -0.951
H 2.891 1.033 0.615
H 1.446 3.510 -0.399
H 0.000 3.799 2.263
H 1.446 1.322 3.277
Rh 1.446 0.000 0.000
```